Record 1
The following is a DFT calculation (PBE-GGA) of an optimized crystal structure of CaCu6.

## Properties
The calculation puts the formation energy at -63.0 meV/atom. Its offset from the most stable computed form is 0 meV/atom. The density of states at the Fermi level is 10.4 states/eV per cell. The uncorrected energy is -108.1 eV for the cell shown.

Unit cell a=8.052 b=5.023 c=10.158 alpha=90.00 beta=90.00 gamma=90.00
Space group Pnma (No. 62)
One atom of each set of equivalent atoms:
Ca 0.240 0.250 0.063 [4 per cell]
Cu 0.064 0.750 0.095 [4 per cell]
Cu 0.065 0.006 0.309 [8 per cell]
Cu 0.100 0.250 0.517 [4 per cell]
Cu 0.148 0.750 0.857 [4 per cell]
Cu 0.184 0.250 0.754 [4 per cell]

Record 2
The following is a DFT calculation (PBE-GGA) of an optimized crystal structure of CaCu3.

## Properties
The calculation puts the formation energy at -91.8 meV/atom. The density of states at the Fermi level is 7.5 states/eV per cell. The uncorrected energy is -58.6 eV for the cell shown.

Unit cell a=7.395 b=6.857 c=5.377 alpha=90.00 beta=90.00 gamma=90.00
Space group Pnma (No. 62)
One atom of each set of equivalent atoms:
Ca 0.031 0.250 0.121 [4 per cell]
Cu 0.129 0.750 0.360 [4 per cell]
Cu 0.162 0.063 0.586 [8 per cell]

Q: Number 1 is which compound?
A: CaCu6

Q: Look up the uncorrected energy of the second one.
A: -58.6 eV for the cell shown